The following is a PBE calculation of a relaxed structure of TlCdRh2, from the Alexandria database.

abc: 4.6130 4.6130 4.6130
angles: 60.00 60.00 60.00
Fractional positions:
1 Tl 0.5000 0.5000 0.5000
2 Rh 0.7500 0.7500 0.7500
3 Rh 0.2500 0.2500 0.2500
4 Cd 0.0000 0.0000 0.0000

## Properties
Relative energy among the computed polymorphs = 0.0 meV/atom
Total energy = -4.543 eV/atom
Formation enthalpy at 0 K = -0.047 eV/atom
DOS(E_F) = 1.805 states/eV/cell



The following is a PBE calculation of a relaxed structure of HfMgNO2, from the Alexandria database.

abc: 3.6865 3.6865 3.9147
angles: 90.00 90.00 90.00
Last column: magnetic moment on the atom in μB.
Fractional positions:
1 N 0.0000 0.0000 0.5000  0.50
2 O 0.0000 0.5000 0.0000  0.15
3 O 0.5000 0.0000 0.0000  0.15
4 Hf 0.5000 0.5000 0.5000  -0.06
5 Mg 0.0000 0.0000 0.0000  0.02

## Properties
Total energy = -7.030 eV/atom
Uncorrected formation energy = -1072.5 meV per atom
DOS(E_F) = 1.541 states/eV/cell



The following is a PBE calculation of a relaxed structure of BaNd2In2Ag2, from the Alexandria database.

abc: 5.0234 5.0234 10.3037
angles: 75.89 75.89 60.00
Fractional positions:
1 Ag 0.4167 0.4167 0.7498
2 Ag 0.5833 0.5833 0.2502
3 In 0.7502 0.7502 0.7495
4 Nd 0.1293 0.1293 0.6122
5 In 0.2498 0.2498 0.2505
6 Ba 0.0000 0.0000 0.0000
7 Nd 0.8707 0.8707 0.3878

## Properties
Total energy = -3.548 eV/atom
Formation enthalpy at 0 K = -0.314 eV/atom
DOS(E_F) = 5.306 states/eV/cell



The following is a PBE calculation of a relaxed structure of MgPI2N, from the Alexandria database.

abc: 5.6373 5.6373 3.8970
angles: 90.00 90.00 90.00
Fractional positions:
1 P 0.5000 0.5000 0.5000
2 I 0.5000 0.0000 0.0000
3 N 0.0000 0.0000 0.5000
4 I 0.0000 0.5000 0.0000
5 Mg 0.0000 0.0000 0.0000

## Properties
Relative energy among the computed polymorphs = 598.6 meV/atom
Total energy = -2.716 eV/atom
Uncorrected formation energy = 969.8 meV per atom
DOS(E_F) = 6.600 states/eV/cell



The following is a PBE calculation of a relaxed structure of Y5Fe2Ag2, from the Alexandria database.

abc: 7.2230 7.2893 8.9404
angles: 90.00 66.17 90.00
Last column: magnetic moment on the atom in μB.
Fractional positions:
1 Y 0.6896 0.3165 0.2554  -0.14
2 Ag 0.2788 0.5000 0.4425  -0.01
3 Ag 0.2212 0.0000 0.5575  -0.01
4 Y 0.0550 0.6835 0.2554  -0.14
5 Y 0.3104 0.6835 0.7446  -0.14
6 Y 0.1896 0.1835 0.2554  -0.14
7 Ag 0.7788 0.0000 0.4425  -0.01
8 Y 0.4450 0.1835 0.7446  -0.14
9 Y 0.0000 0.0000 0.0000  -0.18
10 Y 0.5550 0.8165 0.2554  -0.14
11 Y 0.8104 0.8165 0.7446  -0.14
12 Ag 0.7212 0.5000 0.5575  -0.01
13 Y 0.5000 0.5000 0.0000  -0.18
14 Y 0.9450 0.3165 0.7446  -0.14
15 Fe 0.3969 0.8931 0.0000  1.45
16 Fe 0.6031 0.1069 0.0000  1.45
17 Fe 0.1031 0.3931 0.0000  1.45
18 Fe 0.8969 0.6069 0.0000  1.45

## Properties
Total energy = -6.213 eV/atom
Formation enthalpy at 0 K = -0.107 eV/atom
DOS(E_F) = 19.803 states/eV/cell



The following is a PBE calculation of a relaxed structure of YRu2W2, from the Alexandria database.

abc: 4.3481 4.3481 6.0094
angles: 68.79 68.79 90.00
Fractional positions:
1 Y 0.0000 0.0000 0.0000
2 Ru 0.2500 0.7500 0.5000
3 Ru 0.7500 0.2500 0.5000
4 W 0.6256 0.6256 0.7488
5 W 0.3744 0.3744 0.2512

## Properties
Relative energy among the computed polymorphs = 153.7 meV/atom
Total energy = -10.041 eV/atom
Formation enthalpy at 0 K = 0.143 eV/atom
DOS(E_F) = 4.449 states/eV/cell



The following is a PBE calculation of a relaxed structure of K7Hg2Au2, from the Alexandria database.

abc: 7.8718 8.4295 7.8718
angles: 90.00 109.62 90.00
Fractional positions:
1 K 0.0000 0.7264 0.5000
2 K 0.5000 0.7495 0.5000
3 Au 0.7033 0.0000 0.2967
4 Hg 0.8395 0.5000 0.8395
5 Hg 0.1605 0.5000 0.1605
6 K 0.5000 0.2736 0.0000
7 K 0.5000 0.2505 0.5000
8 Au 0.2967 0.0000 0.7033
9 K 0.5000 0.7264 0.0000
10 K 0.0000 0.0000 0.0000
11 K 0.0000 0.2736 0.5000

## Properties
Relative energy among the computed polymorphs = 24.7 meV/atom
Total energy = -1.516 eV/atom
Formation enthalpy at 0 K = -0.166 eV/atom
DOS(E_F) = 6.703 states/eV/cell



The following is a PBE calculation of a relaxed structure of HfTa3Os, from the Alexandria database.

abc: 4.8490 4.8490 4.8490
angles: 90.00 90.00 90.00
Fractional positions:
1 Ta 0.5000 0.0000 0.0000
2 Os 0.0000 0.0000 0.0000
3 Ta 0.0000 0.5000 0.0000
4 Ta 0.0000 0.0000 0.5000
5 Hf 0.5000 0.5000 0.5000

## Properties
Relative energy among the computed polymorphs = 0.0 meV/atom
Total energy = -10.340 eV/atom
Formation enthalpy at 0 K = 1.009 eV/atom
DOS(E_F) = 7.357 states/eV/cell